# LaPuHfO6 GGA-PBE optimized geometry
# * electronic total energy: -175.72 eV per cell
# * uncorrected formation energy: -3.2112 eV/atom
# * Fermi-level density of states: 20.1 states/eV per cell
# * total magnetization: 6.00 μB/cell
data_LaPuHfO6
_chemical_formula_sum 'La2 Pu2 Hf2 O12'
_symmetry_space_group_name_H-M 'P -3 1 c'
_symmetry_Int_Tables_number 163
_symmetry_space_group_name_Hall '-P 3 2c'
_cell_length_a 5.6385
_cell_length_b 5.6385
_cell_length_c 10.1161
_cell_angle_alpha 90.00
_cell_angle_beta 90.00
_cell_angle_gamma 120.00
loop_
_atom_site_label
_atom_site_fract_x
_atom_site_fract_y
_atom_site_fract_z
La1 0.0000 0.0000 0.0000
Pu1 0.3333 0.6667 0.2500
Hf1 0.3333 0.6667 0.7500
O1 0.0062 0.3634 0.6404

# LaHfS2O GGA-PBE optimized geometry
# * electronic total energy: -78.30 eV per cell
# * uncorrected formation energy: -2.2112 eV/atom
# * Fermi-level density of states: 3.1 states/eV per cell
# * total magnetization: 0.00 μB/cell
data_LaHfS2O
_chemical_formula_sum 'La2 Hf2 S4 O2'
_symmetry_space_group_name_H-M 'P 4/n m m'
_symmetry_Int_Tables_number 129
_cell_length_a 3.826
_cell_length_b 3.826
_cell_length_c 13.441
_cell_angle_alpha 90.00
_cell_angle_beta 90.00
_cell_angle_gamma 90.00
loop_
_symmetry_equiv_pos_as_xyz
'x,y,z'
'-x,-y,-z'
'-y+1/2,x,z'
'y+1/2,-x,-z'
'-x+1/2,-y+1/2,z'
'x+1/2,y+1/2,-z'
'y,-x+1/2,z'
'-y,x+1/2,-z'
'x+1/2,-y,-z'
'-x+1/2,y,z'
'-y,-x,-z'
'y,x,z'
'-x,y+1/2,-z'
'x,-y+1/2,z'
'y+1/2,x+1/2,-z'
'-y+1/2,-x+1/2,z'
loop_
_atom_site_label
_atom_site_fract_x
_atom_site_fract_y
_atom_site_fract_z
La1 0.250 0.250 0.099
Hf1 0.250 0.250 0.600
S1 0.250 0.250 0.402
S2 0.250 0.250 0.779
O1 0.250 0.750 0.000

# LaHfSb2O GGA-PBE optimized geometry
# * electronic total energy: -71.01 eV per cell
# * uncorrected formation energy: -1.4838 eV/atom
# * Fermi-level density of states: 5.5 states/eV per cell
# * total magnetization: 0.00 μB/cell
data_LaHfSb2O
_chemical_formula_sum 'La2 Hf2 Sb4 O2'
_symmetry_space_group_name_H-M 'P 4/n m m'
_symmetry_Int_Tables_number 129
_cell_length_a 3.970
_cell_length_b 3.970
_cell_length_c 15.264
_cell_angle_alpha 90.00
_cell_angle_beta 90.00
_cell_angle_gamma 90.00
loop_
_symmetry_equiv_pos_as_xyz
'x,y,z'
'-x,-y,-z'
'-y+1/2,x,z'
'y+1/2,-x,-z'
'-x+1/2,-y+1/2,z'
'x+1/2,y+1/2,-z'
'y,-x+1/2,z'
'-y,x+1/2,-z'
'x+1/2,-y,-z'
'-x+1/2,y,z'
'-y,-x,-z'
'y,x,z'
'-x,y+1/2,-z'
'x,-y+1/2,z'
'y+1/2,x+1/2,-z'
'-y+1/2,-x+1/2,z'
loop_
_atom_site_label
_atom_site_fract_x
_atom_site_fract_y
_atom_site_fract_z
La1 0.250 0.250 0.083
Hf1 0.250 0.250 0.570
Sb1 0.250 0.250 0.373
Sb2 0.250 0.250 0.767
O1 0.250 0.750 0.000

# LaHf2SbO8 GGA-PBE optimized geometry
# * electronic total energy: -205.81 eV per cell
# * uncorrected formation energy: -2.8568 eV/atom
# * Fermi-level density of states: 0.0 states/eV per cell
# * total magnetization: 0.00 μB/cell
data_LaHf2SbO8
_chemical_formula_sum 'La2 Hf4 Sb2 O16'
_symmetry_space_group_name_H-M 'C m m m'
_symmetry_Int_Tables_number 65
_symmetry_space_group_name_Hall '-C 2 2'
_cell_length_a 6.895
_cell_length_b 7.065
_cell_length_c 6.740
_cell_angle_alpha 90.00
_cell_angle_beta 90.00
_cell_angle_gamma 90.00
loop_
_atom_site_label
_atom_site_fract_x
_atom_site_fract_y
_atom_site_fract_z
La1 0.000 0.000 0.000
Hf1 0.000 0.500 0.255
Sb1 0.000 0.000 0.500
O1 0.000 0.296 0.500
O2 0.000 0.328 0.000
O3 0.202 0.000 0.288

# LaHfSc2O GGA-PBE optimized geometry
# * electronic total energy: -37.78 eV per cell
# * uncorrected formation energy: -1.0557 eV/atom
# * Fermi-level density of states: 8.5 states/eV per cell
# * total magnetization: 0.00 μB/cell
data_LaHfSc2O
_chemical_formula_sum 'La1 Hf1 Sc2 O1'
_symmetry_space_group_name_H-M 'P 4/m m m'
_symmetry_Int_Tables_number 123
_symmetry_space_group_name_Hall '-P 4 2'
_cell_length_a 4.470
_cell_length_b 4.470
_cell_length_c 5.175
_cell_angle_alpha 90.00
_cell_angle_beta 90.00
_cell_angle_gamma 90.00
loop_
_atom_site_label
_atom_site_fract_x
_atom_site_fract_y
_atom_site_fract_z
La1 0.000 0.000 0.000
Hf1 0.500 0.500 0.000
Sc1 0.000 0.500 0.500
O1 0.000 0.000 0.500

# LaHf2SnO GGA-PBE optimized geometry
# * electronic total energy: -38.23 eV per cell
# * uncorrected formation energy: -0.8860 eV/atom
# * Fermi-level density of states: 5.4 states/eV per cell
# * total magnetization: 0.00 μB/cell
data_LaHf2SnO
_chemical_formula_sum 'La1 Hf2 Sn1 O1'
_symmetry_space_group_name_H-M 'P 4/m m m'
_symmetry_Int_Tables_number 123
_symmetry_space_group_name_Hall '-P 4 2'
_cell_length_a 4.459
_cell_length_b 4.459
_cell_length_c 5.456
_cell_angle_alpha 90.00
_cell_angle_beta 90.00
_cell_angle_gamma 90.00
loop_
_atom_site_label
_atom_site_fract_x
_atom_site_fract_y
_atom_site_fract_z
La1 0.000 0.000 0.000
Hf1 0.000 0.500 0.500
Sn1 0.500 0.500 0.000
O1 0.500 0.500 0.500

# SrLa2HfO6 GGA-PBE optimized geometry
# * electronic total energy: -254.38 eV per cell
# * uncorrected formation energy: -3.3553 eV/atom
# * Fermi-level density of states: 0.0 states/eV per cell
# * total magnetization: 0.00 μB/cell
data_SrLa2HfO6
_chemical_formula_sum 'Sr3 La6 Hf3 O18'
_symmetry_space_group_name_H-M 'R 3'
_symmetry_Int_Tables_number 146
_symmetry_space_group_name_Hall 'R 3'
_cell_length_a 6.0334
_cell_length_b 6.0334
_cell_length_c 15.3982
_cell_angle_alpha 90.00
_cell_angle_beta 90.00
_cell_angle_gamma 120.00
loop_
_atom_site_label
_atom_site_fract_x
_atom_site_fract_y
_atom_site_fract_z
Sr1 0.0000 0.0000 0.0000
La1 0.0000 0.0000 0.2715
La2 0.0000 0.0000 0.7737
Hf1 0.0000 0.0000 0.4888
O1 0.0002 0.7336 0.3957
O2 0.0081 0.3843 0.2185

# Sr2LaHfO6 GGA-PBE optimized geometry
# * electronic total energy: -156.26 eV per cell
# * uncorrected formation energy: -3.0134 eV/atom
# * Fermi-level density of states: 15.8 states/eV per cell
# * total magnetization: 2.22 μB/cell
data_Sr2LaHfO6
_chemical_formula_sum 'Sr4 La2 Hf2 O12'
_symmetry_space_group_name_H-M 'P 1 21/c 1'
_symmetry_Int_Tables_number 14
_cell_length_a 5.987
_cell_length_b 6.172
_cell_length_c 10.441
_cell_angle_alpha 90.00
_cell_angle_beta 124.86
_cell_angle_gamma 90.00
loop_
_symmetry_equiv_pos_as_xyz
'x,y,z'
'-x,-y,-z'
'-x,y+1/2,-z+1/2'
'x,-y+1/2,z+1/2'
loop_
_atom_site_label
_atom_site_fract_x
_atom_site_fract_y
_atom_site_fract_z
Sr1 0.238 0.047 0.254
La1 0.500 0.000 0.000
Hf1 0.000 0.000 0.500
O1 0.120 0.225 0.934
O2 0.229 0.691 0.949
O3 0.339 0.049 0.731

# LaHf2TeO8 GGA-PBE optimized geometry
# * electronic total energy: -199.51 eV per cell
# * uncorrected formation energy: -2.6761 eV/atom
# * Fermi-level density of states: 7.6 states/eV per cell
# * total magnetization: 0.00 μB/cell
data_LaHf2TeO8
_chemical_formula_sum 'La2 Hf4 Te2 O16'
_symmetry_space_group_name_H-M 'C m m m'
_symmetry_Int_Tables_number 65
_symmetry_space_group_name_Hall '-C 2 2'
_cell_length_a 6.989
_cell_length_b 7.144
_cell_length_c 6.762
_cell_angle_alpha 90.00
_cell_angle_beta 90.00
_cell_angle_gamma 90.00
loop_
_atom_site_label
_atom_site_fract_x
_atom_site_fract_y
_atom_site_fract_z
La1 0.000 0.000 0.000
Hf1 0.000 0.500 0.251
Te1 0.000 0.000 0.500
O1 0.000 0.303 0.500
O2 0.000 0.328 0.000
O3 0.205 0.000 0.282

# LaHfTi2O8 GGA-PBE optimized geometry
# * electronic total energy: -213.55 eV per cell
# * uncorrected formation energy: -3.0366 eV/atom
# * Fermi-level density of states: 14.3 states/eV per cell
# * total magnetization: 2.02 μB/cell
data_LaHfTi2O8
_chemical_formula_sum 'La2 Hf2 Ti4 O16'
_symmetry_space_group_name_H-M 'I -4'
_symmetry_Int_Tables_number 82
_cell_length_a 5.143
_cell_length_b 5.143
_cell_length_c 11.144
_cell_angle_alpha 90.00
_cell_angle_beta 90.00
_cell_angle_gamma 90.00
loop_
_symmetry_equiv_pos_as_xyz
'x,y,z'
'y,-x,-z'
'-x,-y,z'
'-y,x,-z'
'x+1/2,y+1/2,z+1/2'
'y+1/2,-x+1/2,-z+1/2'
'-x+1/2,-y+1/2,z+1/2'
'-y+1/2,x+1/2,-z+1/2'
loop_
_atom_site_label
_atom_site_fract_x
_atom_site_fract_y
_atom_site_fract_z
La1 0.000 0.000 0.000
Hf1 0.000 0.500 0.750
Ti1 0.000 0.000 0.500
Ti2 0.000 0.500 0.250
O1 0.145 0.262 0.592
O2 0.187 0.763 0.175

# LaHfTiO6 GGA-PBE optimized geometry
# * electronic total energy: -160.24 eV per cell
# * uncorrected formation energy: -3.0661 eV/atom
# * Fermi-level density of states: 14.9 states/eV per cell
# * total magnetization: 2.07 μB/cell
data_LaHfTiO6
_chemical_formula_sum 'La2 Hf2 Ti2 O12'
_symmetry_space_group_name_H-M 'P -3 1 c'
_symmetry_Int_Tables_number 163
_symmetry_space_group_name_Hall '-P 3 2c'
_cell_length_a 5.3705
_cell_length_b 5.3705
_cell_length_c 10.1952
_cell_angle_alpha 90.00
_cell_angle_beta 90.00
_cell_angle_gamma 120.00
loop_
_atom_site_label
_atom_site_fract_x
_atom_site_fract_y
_atom_site_fract_z
La1 0.0000 0.0000 0.0000
Hf1 0.3333 0.6667 0.2500
Ti1 0.3333 0.6667 0.7500
O1 0.0142 0.3739 0.6424

# LaHfUO6 GGA-PBE optimized geometry
# * electronic total energy: -173.39 eV per cell
# * uncorrected formation energy: -3.4194 eV/atom
# * total magnetization: 2.00 μB/cell
data_LaHfUO6
_chemical_formula_sum 'La2 Hf2 U2 O12'
_symmetry_space_group_name_H-M 'P -3 1 c'
_symmetry_Int_Tables_number 163
_symmetry_space_group_name_Hall '-P 3 2c'
_cell_length_a 5.6750
_cell_length_b 5.6750
_cell_length_c 10.0805
_cell_angle_alpha 90.00
_cell_angle_beta 90.00
_cell_angle_gamma 120.00
loop_
_atom_site_label
_atom_site_fract_x
_atom_site_fract_y
_atom_site_fract_z
La1 0.0000 0.0000 0.0000
Hf1 0.3333 0.6667 0.2500
U1 0.3333 0.6667 0.7500
O1 0.0080 0.3632 0.1405

Which formula does entry 5 have? LaHfSc2O